Below is an optimized crystal structure of SiPtW, with properties calculated at the PBE level.

Values from the calculation:
- E_form (uncorrected) (eV/atom) = -0.1482

Unit cell a=5.4933 b=6.3503 c=5.6874 alpha=90.00 beta=109.69 gamma=90.00
With the nearest neighbours (Å) after each atom.
Element x y z (fractional)
Si1 0.2127 0.0324 0.4202  3 Pt 2.37-2.58, 2 W 2.48-2.53
Si2 0.2127 0.4676 0.9202  3 Pt 2.37-2.58, 2 W 2.48-2.53
Si3 0.7873 0.5324 0.0798  3 Pt 2.37-2.58, 2 W 2.48-2.53
Si4 0.7873 0.9676 0.5798  3 Pt 2.37-2.58, 2 W 2.48-2.53
Pt1 0.0996 0.6930 0.5205  3 Si 2.37-2.58
Pt2 0.0996 0.8070 0.0205  3 Si 2.37-2.58
Pt3 0.9004 0.1930 0.9795  3 Si 2.37-2.58
Pt4 0.9004 0.3070 0.4795  3 Si 2.37-2.58
W1 0.4568 0.1565 0.1396  2 Si 2.48-2.53, 1 W 2.68, 1 Pt 2.72
W2 0.4568 0.3435 0.6396  2 Si 2.48-2.53, 1 W 2.68, 1 Pt 2.72
W3 0.5432 0.6565 0.3604  2 Si 2.48-2.53, 1 W 2.68, 1 Pt 2.72
W4 0.5432 0.8435 0.8604  2 Si 2.48-2.53, 1 W 2.68, 1 Pt 2.72